No. 1
Density functional theory data (GGA-PBE) for an optimized crystal structure of YEr9In2.

abc: 4.8348 4.8348 14.8101
angles: 90.00 90.00 90.00
Element x y z (fractional)
Er1 0.0000 0.5000 0.5000
Er2 0.0000 0.5000 0.1731
Er3 0.5000 0.5000 0.3382
Er4 0.5000 0.5000 0.6618
Er5 0.0000 0.5000 0.8269
Er6 0.5000 0.0000 0.1731
Er7 0.5000 0.0000 0.5000
Er8 0.5000 0.0000 0.8269
Er9 0.5000 0.5000 0.0000
Y1 0.0000 0.0000 0.0000
In1 0.0000 0.0000 0.6608
In2 0.0000 0.0000 0.3392

## Properties
As for the calculated volume: 28.85 Å³ per atom. The energy relative to the elements is -0.162 eV per atom. The calculation puts the total energy at -4.5790 eV/atom.

***

No. 2
Density functional theory data (GGA-PBE) for an optimized crystal structure of LiAc2Ni3Ge4.

abc: 4.3574 4.3574 9.9354
angles: 90.00 90.00 90.00
Element x y z (fractional)
Ge1 0.0000 0.0000 0.0000
Ge2 0.5000 0.0000 0.6307
Ge3 0.5000 0.5000 0.0000
Ge4 0.0000 0.5000 0.3693
Li1 0.5000 0.5000 0.5000
Ni1 0.5000 0.0000 0.8811
Ni2 0.0000 0.5000 0.1189
Ni3 0.0000 0.0000 0.5000
Ac1 0.0000 0.5000 0.7484
Ac2 0.5000 0.0000 0.2516

## Properties
As for the calculated volume: 18.86 Å³ per atom. The energy relative to the elements is -0.594 eV per atom. The calculation puts the total energy at -5.1887 eV/atom.

***

No. 3
Density functional theory data (GGA-PBE) for an optimized crystal structure of Cd6NiPd12.

abc: 6.8789 6.8789 6.8789
angles: 91.95 91.95 91.95
Element x y z (fractional)
Pd1 0.4615 0.5440 0.2064
Pd2 0.8626 0.6385 0.9575
Pd3 0.7936 0.5385 0.4560
Pd4 0.3615 0.0425 0.1374
Pd5 0.9575 0.8626 0.6385
Pd6 0.1374 0.3615 0.0425
Pd7 0.5385 0.4560 0.7936
Pd8 0.4560 0.7936 0.5385
Pd9 0.0425 0.1374 0.3615
Pd10 0.5440 0.2064 0.4615
Pd11 0.2064 0.4615 0.5440
Pd12 0.6385 0.9575 0.8626
Cd1 0.7157 0.8788 0.2615
Cd2 0.1212 0.7385 0.2843
Cd3 0.2843 0.1212 0.7385
Cd4 0.2615 0.7157 0.8788
Cd5 0.8788 0.2615 0.7157
Cd6 0.7385 0.2843 0.1212
Ni1 0.0000 0.0000 0.0000

## Properties
As for the calculated volume: 17.10 Å³ per atom. The energy relative to the elements is -0.171 eV per atom. The calculation puts the total energy at -4.0438 eV/atom.

***

No. 4
Density functional theory data (GGA-PBE) for an optimized crystal structure of BeAsSe2.

abc: 3.1678 3.1678 6.9156
angles: 90.00 90.00 90.00
Element x y z (fractional)
Se1 0.0000 0.0000 0.5516
Se2 0.0000 0.0000 0.9484
Be1 0.5000 0.5000 0.7500
As1 0.5000 0.5000 0.2500

## Properties
As for the calculated volume: 17.35 Å³ per atom. The uncorrected formation energy comes out at 0.47 eV/atom. As for the offset from the most stable computed form: 582.2 meV/atom. The calculation puts the total energy at -3.3701 eV/atom.

***

No. 5
Density functional theory data (GGA-PBE) for an optimized crystal structure of Li3Ho2Pt4.

abc: 5.5223 7.5391 7.8210
angles: 90.00 110.67 90.00
Element x y z (fractional)
Pt1 0.2989 0.2500 0.0977
Pt2 0.7011 0.7500 0.9023
Pt3 0.3223 0.4666 0.6446
Pt4 0.7989 0.2500 0.0977
Pt5 0.1777 0.9666 0.3554
Pt6 0.2011 0.7500 0.9023
Pt7 0.8223 0.0334 0.6446
Pt8 0.6777 0.5334 0.3554
Ho1 0.3870 0.0886 0.7740
Ho2 0.8870 0.4114 0.7740
Ho3 0.6130 0.9114 0.2260
Ho4 0.1130 0.5886 0.2260
Li1 0.0314 0.7500 0.5628
Li2 0.0000 0.0000 0.0000
Li3 0.9686 0.2500 0.4372
Li4 0.5000 0.5000 0.0000
Li5 0.5314 0.7500 0.5628
Li6 0.4686 0.2500 0.4372

## Properties
As for the calculated volume: 16.92 Å³ per atom. The energy relative to the elements is -0.873 eV per atom. The calculation puts the total energy at -5.2130 eV/atom.

***

No. 6
Density functional theory data (GGA-PBE) for an optimized crystal structure of HfAs2Pt.

abc: 5.8185 5.8185 7.1715
angles: 66.07 66.07 90.00
Element x y z (fractional)
Pt1 0.7500 0.2500 0.5000
Pt2 0.0000 0.0000 0.0000
As1 0.1009 0.6250 0.2500
As2 0.6491 0.1250 0.2500
As3 0.3750 0.3509 0.7500
As4 0.8750 0.8991 0.7500
Hf1 0.5000 0.5000 0.0000
Hf2 0.2500 0.7500 0.5000

## Properties
As for the calculated volume: 24.86 Å³ per atom. The energy relative to the elements is -0.174 eV per atom. As for the offset from the most stable computed form: 160.1 meV/atom. The calculation puts the total energy at -6.4975 eV/atom.

***

- Among the records above, which one has the lowest calculated volume?
  Li3Ho2Pt4

***

- Which value of calculated volume does entry 5 give?
  16.92 Å³ per atom

***

- calculated volume of number 6 (HfAs2Pt)?
  24.86 Å³ per atom

***

- calculated volume of number 2 (LiAc2Ni3Ge4)?
  18.86 Å³ per atom